ScZn2Fe | SCAN | single point on PBEsol structure

Summary:
The formation energy comes out at -0.09 eV per atom. Its space-group type is I-4m2 (119). For the magnetization, the calculation gives 1.9 μB/f.u.

a = 3.8764 Å, b = 3.8764 Å, c = 4.7391 Å
α = 114.14°, β = 114.14°, γ = 90.00°
Fractional coordinates of all 4 atoms:
Fe (0.5000, 0.5000, 0.0000)
Sc (0.2500, 0.7500, 0.5000)
Zn (0.7500, 0.2500, 0.5000)
Zn (0.0000, 0.0000, 0.0000)



KMnCr | SCAN | single point on PBEsol structure

Summary:
The formation energy comes out at 1.51 eV per atom. Its space-group type is F-43m (216). For the magnetization, the calculation gives 10.3 μB/f.u. The energy above the most stable polymorph in this dataset comes out at 973 meV/atom.

a = 5.2442 Å, b = 5.2442 Å, c = 5.2442 Å
α = 60.00°, β = 60.00°, γ = 60.00°
Fractional coordinates of all 3 atoms:
Mn (0.0000, 0.0000, 0.0000)
Cr (0.5000, 0.5000, 0.5000)
K (0.2500, 0.2500, 0.2500)



BaZr2Pb | SCAN | single point on PBEsol structure

Summary:
The formation energy comes out at -0.04 eV per atom. Its space-group type is P4mm (99). For the magnetization, the calculation gives 0.0 μB/f.u.

a = 3.7159 Å, b = 3.7159 Å, c = 8.4173 Å
α = 90.00°, β = 90.00°, γ = 90.00°
Fractional coordinates of all 4 atoms:
Ba (0.0000, 0.0000, 0.5147)
Zr (0.5000, 0.5000, 0.1809)
Zr (0.0000, 0.0000, 0.9959)
Pb (0.5000, 0.5000, 0.8086)



CsZn3Cu | SCAN | single point on PBEsol structure

Summary:
The formation energy comes out at 1.39 eV per atom. Its space-group type is Pm-3m (221). For the magnetization, the calculation gives 0.1 μB/f.u.

a = 6.5260 Å, b = 6.5260 Å, c = 6.5260 Å
α = 90.00°, β = 90.00°, γ = 90.00°
Fractional coordinates of all 5 atoms:
Zn (0.0000, 0.0000, 0.5000)
Zn (0.0000, 0.5000, 0.0000)
Cs (0.0000, 0.0000, 0.0000)
Zn (0.5000, 0.0000, 0.0000)
Cu (0.5000, 0.5000, 0.5000)



FeSiIr | SCAN | single point on PBEsol structure

Summary:
The calculation puts the formation energy without anion corrections at -173 meV per atom. Its space-group type is P3m1 (156). For the magnetization, the calculation gives 2.1 μB/f.u.

a = 2.6861 Å, b = 2.6861 Å, c = 5.8162 Å
α = 90.00°, β = 90.00°, γ = 120.00°
Fractional coordinates of all 3 atoms:
Si (0.6667, 0.3333, 0.3196)
Ir (0.3333, 0.6667, 0.6590)
Fe (0.0000, 0.0000, 0.0214)



LiAuBr2 | SCAN | single point on PBEsol structure

Summary:
The calculation puts the formation energy without anion corrections at -851 meV per atom. Its space-group type is R-3m (166). For the magnetization, the calculation gives 0.0 μB/f.u. The energy above the most stable polymorph in this dataset comes out at 0 meV/atom.

a = 3.9395 Å, b = 3.9395 Å, c = 7.9032 Å
α = 75.57°, β = 75.57°, γ = 60.00°
Fractional coordinates of all 4 atoms:
Br (0.8947, 0.8947, 0.3160)
Li (0.5000, 0.5000, 0.5000)
Au (0.0000, 0.0000, 0.0000)
Br (0.1053, 0.1053, 0.6840)



RbSnC3 | SCAN | single point on PBEsol structure

Summary:
The formation energy comes out at 4.20 eV per atom. Its space-group type is Pm-3m (221). For the magnetization, the calculation gives 3.2 μB/f.u.

a = 4.4587 Å, b = 4.4587 Å, c = 4.4587 Å
α = 90.00°, β = 90.00°, γ = 90.00°
Fractional coordinates of all 5 atoms:
C (0.0000, 0.5000, 0.0000)
Rb (0.0000, 0.0000, 0.0000)
C (0.0000, 0.0000, 0.5000)
C (0.5000, 0.0000, 0.0000)
Sn (0.5000, 0.5000, 0.5000)



SrMgAgHg2 | SCAN | single point on PBEsol structure

Summary:
The formation energy comes out at 0.74 eV per atom. Its space-group type is P4/mmm (123). For the magnetization, the calculation gives 0.0 μB/f.u.

a = 6.0036 Å, b = 6.0036 Å, c = 6.3720 Å
α = 90.00°, β = 90.00°, γ = 90.00°
Fractional coordinates of all 5 atoms:
Hg (0.0000, 0.5000, 0.0000)
Ag (0.5000, 0.5000, 0.5000)
Mg (0.0000, 0.0000, 0.5000)
Sr (0.0000, 0.0000, 0.0000)
Hg (0.5000, 0.0000, 0.0000)



K3CeBr6 | SCAN | single point on PBEsol structure

Summary:
The calculation puts the formation energy without anion corrections at -1917 meV per atom. Its space-group type is Fm-3m (225). For the magnetization, the calculation gives 1.0 μB/f.u.

a = 8.3513 Å, b = 8.3513 Å, c = 8.3513 Å
α = 60.00°, β = 60.00°, γ = 60.00°
Fractional coordinates of all 10 atoms:
Br (0.2414, 0.2414, 0.7586)
K (0.7500, 0.7500, 0.7500)
K (0.2500, 0.2500, 0.2500)
Br (0.7586, 0.7586, 0.2414)
Ce (0.0000, 0.0000, 0.0000)
Br (0.2414, 0.7586, 0.2414)
K (0.5000, 0.5000, 0.5000)
Br (0.2414, 0.7586, 0.7586)
Br (0.7586, 0.2414, 0.2414)
Br (0.7586, 0.2414, 0.7586)



CoTc3Sb | SCAN | single point on PBEsol structure

Summary:
The calculation puts the formation energy without anion corrections at 1239 meV per atom. Its space-group type is Pm-3m (221). For the magnetization, the calculation gives 1.9 μB/f.u.

a = 4.3818 Å, b = 4.3818 Å, c = 4.3818 Å
α = 90.00°, β = 90.00°, γ = 90.00°
Fractional coordinates of all 5 atoms:
Tc (0.0000, 0.0000, 0.5000)
Co (0.0000, 0.0000, 0.0000)
Sb (0.5000, 0.5000, 0.5000)
Tc (0.0000, 0.5000, 0.0000)
Tc (0.5000, 0.0000, 0.0000)



Mg3TeS | SCAN | single point on PBEsol structure

Summary:
The calculation puts the formation energy without anion corrections at -396 meV per atom. Its space-group type is Pm-3m (221). For the magnetization, the calculation gives 0.0 μB/f.u.

a = 4.9548 Å, b = 4.9548 Å, c = 4.9548 Å
α = 90.00°, β = 90.00°, γ = 90.00°
Fractional coordinates of all 5 atoms:
Mg (0.0000, 0.0000, 0.5000)
Mg (0.0000, 0.5000, 0.0000)
Mg (0.5000, 0.0000, 0.0000)
S (0.0000, 0.0000, 0.0000)
Te (0.5000, 0.5000, 0.5000)



MgTc | SCAN | single point on PBEsol structure

Summary:
The formation energy comes out at 0.02 eV per atom. Its space-group type is Fd-3m (227). For the magnetization, the calculation gives 0.0 μB/f.u. The energy above the most stable polymorph in this dataset comes out at 84 meV/atom.

a = 4.4016 Å, b = 4.4016 Å, c = 4.4016 Å
α = 60.00°, β = 60.00°, γ = 60.00°
Fractional coordinates of all 4 atoms:
Tc (0.7500, 0.7500, 0.7500)
Tc (0.5000, 0.5000, 0.5000)
Mg (0.0000, 0.0000, 0.0000)
Mg (0.2500, 0.2500, 0.2500)



What are the density values for these records? In order: 6.62 2.38 7.53 2.35 12.62 5.94 4.50 4.49 2.97 9.37 3.18 6.74 g/cm3.
What are the total energy values for these records? In order: -14.9437 -13.4810 -44.2227 -17.3168 -33.2547 -28.4671 -13.1957 -38.2465 -20.5482 -30.7100 -12.7562 -19.9985 eV per atom.